# Nd5Ir3, relaxed, DFT PBE-GGA
# **E_form**: -0.57 eV/atom
# **E above lowest polymorph**: 51 meV/atom
# **Total magnetic moment**: 0.00 μB/f.u.
data_Nd5Ir3
_chemical_formula_sum 'Nd10 Ir6'
_cell_length_a 8.4928
_cell_length_b 8.4928
_cell_length_c 6.6013
_cell_angle_alpha 90.00
_cell_angle_beta 90.00
_cell_angle_gamma 120.00
_space_group_name_H-M_alt 'P 63/m c m'
_space_group_IT_number 193
_space_group_name_Hall '-P 6c 2'
loop_
_atom_site_label
_atom_site_type_symbol
_atom_site_fract_x
_atom_site_fract_y
_atom_site_fract_z
Nd1 Nd 0.0000 0.2570 0.2500
Nd2 Nd 0.3333 0.6667 0.0000
Ir1 Ir 0.0000 0.3907 0.7500